Entry 1:
# Na3LiTi2F12

A relaxed Na3LiTi2F12 crystal (PBEsol, Alexandria).

```
36
Lattice="5.1266 0.0000 0.0000 0.0000 5.1266 0.0000 0.0000 0.0000 18.0171" Properties=species:S:1:pos:R:3 pbc="T T T"
Na 0.0000 2.5633 5.5861
Na 2.5633 0.0000 12.4310
Na 2.5633 0.0000 3.4225
Na 0.0000 2.5633 14.5946
Na 0.0000 0.0000 9.0085
Na 2.5633 2.5633 0.0000
Li 0.0000 0.0000 0.0000
Li 2.5633 2.5633 9.0085
Ti 0.0000 2.5633 2.2466
Ti 2.5633 0.0000 15.7704
Ti 2.5633 0.0000 6.7619
Ti 0.0000 2.5633 11.2552
F 1.0516 1.0796 6.9325
F 4.0749 4.0470 6.9325
F 1.0796 4.0749 11.0846
F 1.5116 3.6429 2.0760
F 4.0470 1.0516 11.0846
F 3.6149 1.4837 2.0760
F 1.4837 1.5116 15.9410
F 3.6429 3.6149 15.9410
F 0.7665 1.5229 3.5860
F 4.3600 3.6037 3.5860
F 1.5229 4.3600 14.4311
F 1.7967 4.0861 5.4226
F 3.6037 0.7665 14.4311
F 3.3298 1.0404 5.4226
F 1.0404 1.7967 12.5945
F 4.0861 3.3298 12.5945
F 0.7833 1.4459 0.9144
F 4.3433 3.6807 0.9144
F 1.4459 4.3433 17.1027
F 1.7800 4.0091 8.0942
F 3.6807 0.7833 17.1027
F 3.3465 1.1174 8.0942
F 1.1174 1.7800 9.9229
F 4.0091 3.3465 9.9229
```

symmetry = P-42_1c, No. 114
total magnetic moment = 0.008 μB per atom
calculated volume = 473.5 Å³/cell
ΔE_f (raw) = -3.2271 eV/atom

---

Entry 2:
# Na3Li3Ti2F12

A relaxed Na3Li3Ti2F12 crystal (PBEsol, Alexandria).

```
80
Lattice="10.7557 0.0000 0.0000 -3.5852 10.1405 0.0000 -3.5852 -5.0703 8.7820" Properties=species:S:1:pos:R:3 pbc="T T T"
Na -4.4815 3.1689 7.6842
Na 0.8963 -0.6338 5.4887
Na 4.4815 0.6338 5.4887
Na -2.6889 0.0000 6.5865
Na 2.6889 0.0000 2.1955
Na -0.8963 -3.1689 7.6842
Na 8.0667 1.9014 1.0977
Na 2.6889 5.7041 3.2932
Na -0.8963 4.4365 3.2932
Na 6.2741 5.0703 2.1955
Na 4.4815 8.2392 1.0977
Na 0.8963 5.0703 6.5865
Li -0.8963 2.5351 6.5865
Li 2.6889 1.9014 7.6842
Li 0.8963 3.1689 1.0977
Li 4.4815 4.4365 5.4887
Li 2.6889 -1.9014 7.6842
Li -2.6889 7.6054 2.1955
Li -0.8963 0.6338 3.2932
Li 0.8963 6.9716 1.0977
Li -2.6889 5.7041 5.4887
Li 4.4815 2.5351 2.1955
Li 6.2741 -2.5351 6.5865
Li 6.2741 -0.6338 3.2932
Ti 5.3778 0.0000 0.0000
Ti 3.5852 -2.5351 4.3910
Ti -3.5852 2.5351 4.3910
Ti 3.5852 5.0703 0.0000
Ti -1.7926 5.0703 0.0000
Ti -1.7926 -2.5351 4.3910
Ti 1.7926 2.5351 4.3910
Ti 0.0000 0.0000 0.0000
F 3.4273 1.8304 3.5409
F 4.4920 -0.9318 3.6847
F 5.5357 2.9190 5.4264
F 6.6890 0.6310 4.5763
F 0.9068 -1.4133 7.7466
F 5.8593 -0.7916 7.0403
F -2.6994 -2.3451 6.1326
F -3.7431 1.0886 8.5967
F -1.6347 -1.0886 8.5967
F 1.2094 1.3894 0.7062
F -5.9611 4.9872 7.2256
F -2.6784 2.3451 6.1326
F -3.0020 5.1533 7.2256
F -0.4814 0.7916 7.0403
F 0.5832 8.7512 0.7062
F 1.9505 -1.8304 3.5409
F 4.1685 1.3063 0.8501
F 3.1038 -1.4226 5.9473
F 4.4710 1.4133 7.7466
F -1.3112 -0.6310 4.5763
F 5.9611 -3.7640 7.9319
F 1.3112 3.6477 2.8346
F 3.7431 7.9892 3.3556
F 7.3283 3.9817 0.1853
F 2.6994 4.1385 5.0972
F 6.2846 7.4154 2.6493
F -2.2740 5.8619 1.7416
F 2.6784 6.4836 1.0354
F -3.1038 4.4392 4.2057
F -1.9505 2.1513 3.3556
F -0.9068 6.0021 5.0972
F 0.4814 6.4929 2.8346
F 5.2200 6.1589 0.1853
F 2.3759 3.6809 8.0757
F 9.5463 0.0831 1.5564
F 6.2637 2.7252 2.6493
F 6.5872 -0.0831 1.5564
F 4.0667 4.2787 1.7416
F 3.0020 -3.6809 8.0757
F 1.6347 6.9006 5.2411
F -0.5832 3.7640 7.9319
F -0.8858 3.6570 1.0354
F 4.8964 5.7013 4.2057
F 0.1579 3.2399 5.2411
F -2.3759 8.8342 0.8501
F 2.2740 1.4226 5.9473
F -0.1579 -2.9190 5.4264
F 0.8858 0.9318 3.6847
```

symmetry = Ia-3d, No. 230
total magnetic moment = 0.100 μB per atom
calculated volume = 957.8 Å³/cell
ΔE_f (raw) = -3.0671 eV/atom

---

Entry 3:
# NaLiWF2

A relaxed NaLiWF2 crystal (PBEsol, Alexandria).

```
5
Lattice="4.1011 0.0000 0.0000 0.0000 4.1011 0.0000 0.0000 0.0000 6.3130" Properties=species:S:1:pos:R:3 pbc="T T T"
Na 0.0000 0.0000 3.1565
Li 2.0506 2.0506 3.1565
W 0.0000 0.0000 0.0000
F 0.0000 2.0506 0.0000
F 2.0506 0.0000 0.0000
```

symmetry = P4/mmm, No. 123
total magnetic moment = 0.627 μB per atom
calculated volume = 106.2 Å³/cell
ΔE_f (raw) = -0.3408 eV/atom

---

Entry 4:
# Na2LiYF6

A relaxed Na2LiYF6 crystal (PBEsol, Alexandria).

```
10
Lattice="-1.5173 -0.7135 -5.5500 -4.7784 -2.9993 -1.3364 -4.6504 2.7453 -2.1098" Properties=species:S:1:pos:R:3 pbc="T T T"
Na -8.2096 -0.7256 -6.7472
Na -2.7365 -0.2419 -2.2491
Li -5.4730 -0.4837 -4.4981
Y 0.0000 0.0000 0.0000
F -3.5705 -0.5942 -5.0040
F -5.8687 -2.0367 -5.6468
F -7.3756 -0.3732 -3.9922
F -5.8071 0.7261 -6.0188
F -5.1389 -1.6936 -2.9775
F -5.0774 1.0693 -3.3495
```

symmetry = Fm-3m, No. 225
total magnetic moment = 0.000 μB per atom
calculated volume = 137.8 Å³/cell
ΔE_f (raw) = -3.2136 eV/atom

---

Entry 5:
# LiNb2F

A relaxed LiNb2F crystal (PBEsol, Alexandria).

```
4
Lattice="-2.2041 -3.6494 0.4598 0.0479 -2.9413 -3.1199 2.0820 -3.7040 0.5771" Properties=species:S:1:pos:R:3 pbc="T T T"
Nb -0.0185 -2.5737 -0.5207
Nb -0.0556 -7.7210 -1.5622
Li 0.0000 0.0000 0.0000
F -0.0371 -5.1473 -1.0415
```

symmetry = Fm-3m, No. 225
total magnetic moment = 0.000 μB per atom
calculated volume = 55.8 Å³/cell
ΔE_f (raw) = 0.3752 eV/atom

---

Entry 6:
# Li3NbF

A relaxed Li3NbF crystal (PBEsol, Alexandria).

```
5
Lattice="5.3340 0.0000 0.0000 0.0000 5.3340 0.0000 0.0000 0.0000 5.3340" Properties=species:S:1:pos:R:3 pbc="T T T"
Nb 0.0000 0.0000 0.0000
Li 0.0000 2.6670 0.0000
Li 0.0000 0.0000 2.6670
Li 2.6670 0.0000 0.0000
F 2.6670 2.6670 2.6670
```

symmetry = Pm-3m, No. 221
total magnetic moment = 0.999 μB per atom
calculated volume = 151.8 Å³/cell
ΔE_f (raw) = 0.9087 eV/atom

---

Entry 7:
# Li2NbOF5

A relaxed Li2NbOF5 crystal (PBEsol, Alexandria).

```
27
Lattice="-2.9034 -1.8550 3.5676 1.3744 -2.8567 -3.8143 11.1077 -3.9697 6.9755" Properties=species:S:1:pos:R:3 pbc="T T T"
Li 7.7551 -7.9291 5.4970
Li 5.5151 -2.0740 3.4219
Li 3.1417 -3.4859 -2.5764
Li 4.0597 -4.1946 4.5498
Li 7.7708 -5.4492 6.9004
Li 0.3248 -2.8511 2.2876
Nb 10.9155 -6.4920 5.6674
Nb 7.3250 -5.0360 3.2393
Nb 3.5991 -3.9008 0.8443
O 3.1362 -4.4293 -0.7779
O 6.9224 -3.3818 2.7633
O 9.2331 -6.7071 6.1656
F 7.8678 -4.5907 5.0941
F 0.4746 -1.9173 0.4609
F 4.1409 -3.3042 2.8182
F 5.5083 -2.9606 5.2857
F 10.6481 -7.0607 3.7951
F 5.5153 -3.6060 0.4264
F 9.2409 -4.9406 2.7293
F 1.8404 -2.2261 -1.8792
F 7.7663 -6.4619 8.6716
F 3.2313 -1.9833 0.5468
F 5.5164 -5.5113 3.8744
F 1.7775 -4.1077 1.5996
F 7.8414 -7.0333 3.7775
F 4.0941 -5.7010 1.5181
F 0.4008 -4.3530 -0.8285
```

symmetry = P3_1, No. 144
total magnetic moment = 0.000 μB per atom
calculated volume = 291.9 Å³/cell
ΔE_f (raw) = -2.9469 eV/atom

---

Entry 8:
# Li2NbOF5

A relaxed Li2NbOF5 crystal (PBEsol, Alexandria).

```
9
Lattice="-3.8101 0.4545 2.4760 -2.6742 -1.5224 -3.8884 1.7472 -3.3177 3.2447" Properties=species:S:1:pos:R:3 pbc="T T T"
Nb -0.0977 -0.1117 0.0324
Li -1.6975 -2.5043 2.0645
Li -3.1042 -1.9331 -0.2050
O -1.2401 -1.4090 0.4140
F -3.4612 -2.9428 1.4047
F -0.9822 -4.2114 1.2224
F -4.9336 -2.2134 -0.9905
F -1.9436 -3.4275 3.8335
F -2.4155 -3.6294 -1.0899
```

symmetry = Cm, No. 8
total magnetic moment = 0.000 μB per atom
calculated volume = 97.4 Å³/cell
ΔE_f (raw) = -2.9492 eV/atom

---

Entry 9:
# Li5Nb3OF18

A relaxed Li5Nb3OF18 crystal (PBEsol, Alexandria).

```
54
Lattice="-5.6172 0.5605 7.0938 -1.5706 -8.3826 5.2117 4.0729 2.2805 8.8379" Properties=species:S:1:pos:R:3 pbc="T T T"
Li 0.8091 -3.8243 13.0754
Li -2.7961 -5.0492 16.1105
Li 0.3028 -0.2818 12.3946
Li -5.6102 -5.8671 13.9468
Li 1.0004 -3.0260 7.3415
Li -1.8082 -2.7458 10.8884
Li 1.9653 0.3784 7.8659
Li -3.9477 -5.2070 9.4181
Li -0.8488 -0.4395 5.7022
Li -4.4539 -1.6644 8.7373
Nb -4.2862 0.4277 5.4129
Nb -1.4776 0.1475 1.8660
Nb -2.0239 -1.7778 16.0853
Nb -1.2031 -5.8139 11.2612
Nb -1.2543 -3.7474 5.2643
Nb -2.0752 0.2886 10.0884
O -5.3731 0.5362 6.7855
O -2.5645 0.2559 3.2386
F -2.9093 -5.0700 17.9902
F 0.2723 -4.6454 14.6830
F -1.1787 -3.4519 16.6775
F 0.4197 -6.0187 12.3531
F -4.6066 -3.5974 8.5377
F 0.5773 0.6103 6.5171
F 2.3650 -2.2353 10.4415
F -2.3905 -5.6336 12.7374
F -3.2447 -3.3101 15.4447
F -0.6067 -3.9126 11.7882
F -1.1583 -1.9780 14.4001
F -0.0985 -5.5625 9.7296
F -1.6946 0.1583 15.9837
F -2.4481 -6.8523 10.1481
F -5.0342 -6.1879 10.6029
F 1.7532 1.0497 9.6126
F 2.0388 -1.5353 7.9021
F -2.4617 -4.4518 10.3619
F 0.1014 -4.5307 6.6048
F -1.0152 -1.0536 11.2388
F -1.6889 -6.9086 7.5158
F -0.5187 0.8896 13.6193
F -0.6271 1.3068 10.9453
F -1.3806 -5.7039 5.1096
F -5.4231 -3.2177 11.1210
F -0.8658 -0.1937 8.6978
F -2.8703 -1.5928 9.8124
F -0.2323 -2.1954 6.1560
F -2.3830 -3.6154 6.7909
F -3.2447 0.3435 11.5887
F 1.1861 -1.9137 12.9916
F -3.9978 -6.1214 15.0123
F -1.8966 -2.0936 4.4158
F -3.4950 0.4732 8.7402
F -0.2080 -1.2134 2.4455
F -2.6436 -0.2283 6.2320
```

symmetry = I4cm, No. 108
total magnetic moment = 0.004 μB per atom
calculated volume = 719.4 Å³/cell
ΔE_f (raw) = -2.9822 eV/atom

---

Entry 10:
# LiNbO2F

A relaxed LiNbO2F crystal (PBEsol, Alexandria).

```
5
Lattice="-1.0654 -2.0389 3.2480 -0.9309 -3.1327 -2.2719 3.8556 -1.4175 0.3748" Properties=species:S:1:pos:R:3 pbc="T T T"
Nb 0.0000 0.0000 0.0000
Li 0.9296 -3.2946 0.6755
O -0.4655 -1.5663 -1.1359
O -0.5327 -1.0195 1.6240
F 1.9278 -0.7088 0.1874
```

symmetry = P4/mmm, No. 123
total magnetic moment = 0.000 μB per atom
calculated volume = 65.3 Å³/cell
ΔE_f (raw) = -2.2633 eV/atom

---

Entry 11:
# SrLiNb2O6F

A relaxed SrLiNb2O6F crystal (PBEsol, Alexandria).

```
11
Lattice="-1.0841 0.5048 -3.6534 2.9760 -2.1295 -1.1773 -6.6833 -7.5110 2.9678" Properties=species:S:1:pos:R:3 pbc="T T T"
Sr 0.0000 0.0000 0.0000
Li -1.3807 -5.2265 -0.3124
Nb -4.3727 -6.3436 0.4210
Nb -0.4187 -2.7921 -2.2840
O -3.3562 -4.8689 0.3231
O -3.1713 -7.8241 -0.1400
O 0.4099 -2.6288 -0.4849
O -1.4352 -4.2669 -2.1861
O -5.2231 -6.5385 -1.3760
O -1.5984 -1.2801 -1.7250
F 0.9460 -0.8124 -2.4154
```

symmetry = I-4m2, No. 119
total magnetic moment = 0.000 μB per atom
calculated volume = 149.6 Å³/cell
ΔE_f (raw) = -2.7709 eV/atom

---

Entry 12:
# Li6NiOF6

A relaxed Li6NiOF6 crystal (PBEsol, Alexandria).

```
14
Lattice="2.9100 0.0000 0.0000 0.0000 3.8280 0.0000 -1.4550 -1.9140 10.3617" Properties=species:S:1:pos:R:3 pbc="T T T"
Li 1.4550 1.9140 8.8623
Li 0.0000 0.0000 1.4994
Li 0.0000 0.0000 7.2706
Li 1.4550 1.9140 3.0911
Li 1.4550 1.9140 5.9231
Li 0.0000 0.0000 4.4386
Ni 1.4550 1.9140 0.0000
O 1.4550 0.0000 0.0000
F 1.4550 0.0000 8.6963
F 0.0000 1.9140 1.6654
F 0.0000 1.9140 7.3287
F 1.4550 0.0000 3.0330
F 1.4550 0.0000 5.8855
F 0.0000 1.9140 4.4762
```

symmetry = Immm, No. 71
total magnetic moment = 0.143 μB per atom
calculated volume = 115.4 Å³/cell
ΔE_f (raw) = -2.5187 eV/atom
relative energy among the computed polymorphs = 70 meV per atom

---

Entry 13:
# Li3NiO2F2

A relaxed Li3NiO2F2 crystal (PBEsol, Alexandria).

```
16
Lattice="4.8885 0.0092 0.0000 -1.4924 4.6830 0.0000 0.0000 0.0000 5.7712" Properties=species:S:1:pos:R:3 pbc="T T T"
Li 1.2221 0.0023 5.0855
Li 3.6664 0.0069 0.6857
Li 1.2221 0.0023 2.0931
Li 3.6664 0.0069 3.6781
Li 0.4759 2.3438 3.6576
Li 2.9202 2.3484 2.1136
Ni 0.4759 2.3438 0.6381
Ni 2.9202 2.3484 5.1331
O -1.0162 3.4121 0.6495
O 1.9680 1.2755 0.6495
O 1.4281 3.4167 5.1217
O 4.4123 1.2801 5.1217
F -0.3648 1.1604 2.1931
F 2.0794 1.1650 3.5781
F 1.3166 3.5272 2.1931
F 3.7609 3.5318 3.5781
```

symmetry = P2/c, No. 13
total magnetic moment = 0.125 μB per atom
calculated volume = 132.2 Å³/cell
ΔE_f (raw) = -2.0325 eV/atom

---

Entry 14:
# Li4Ni2OF7

A relaxed Li4Ni2OF7 crystal (PBEsol, Alexandria).

```
14
Lattice="5.7739 0.0050 -0.0035 2.8586 5.0718 0.0177 -2.8586 -1.7006 4.7782" Properties=species:S:1:pos:R:3 pbc="T T T"
Li 7.2152 4.2945 0.5640
Li -1.4855 -0.9336 4.2390
Li 0.0355 1.7100 2.3808
Li 2.9204 1.6458 2.4259
Ni 4.2243 4.1851 2.3509
Ni 4.2243 2.5761 0.0619
O 3.0602 3.4139 1.1831
F 2.7404 0.0030 3.5807
F 0.0544 0.0174 3.5705
F 5.7114 3.3519 1.2267
F 1.4806 2.3824 3.5689
F 1.4806 0.8197 1.3458
F 4.3621 2.5693 3.4670
F 4.3621 0.9789 1.2044
```

symmetry = Cm, No. 8
total magnetic moment = 0.359 μB per atom
calculated volume = 140.0 Å³/cell
ΔE_f (raw) = -2.2471 eV/atom

---

Entry 15:
# Li3Ni3OF7

A relaxed Li3Ni3OF7 crystal (PBEsol, Alexandria).

```
14
Lattice="-3.4408 -2.2873 4.1728 0.6434 -5.6305 1.5382 2.2830 -1.3413 5.2413" Properties=species:S:1:pos:R:3 pbc="T T T"
Li 0.0000 -0.0004 0.0005
Li -0.1313 -2.3635 2.7957
Li -0.3210 -5.7772 6.8337
Ni -1.4147 -5.0486 4.2135
Ni 1.3391 -4.5935 4.7276
Ni -0.6259 -2.9850 5.9951
O -0.1995 -3.5913 4.2480
F -0.4457 -8.0217 9.4886
F 0.1084 -6.2206 4.9263
F 0.8868 -4.1841 6.6845
F -1.8307 -4.6333 6.1771
F 1.1749 -6.9573 7.5382
F -1.5222 -7.4031 7.0347
F -0.7496 -5.3819 8.7796
```

symmetry = R3m, No. 160
total magnetic moment = 0.421 μB per atom
calculated volume = 144.2 Å³/cell
ΔE_f (raw) = -2.0116 eV/atom